Record 1
## BaCu2Bi2 (PBE)

Data for crystalline BaCu2Bi2 at its relaxed geometry.

Cell: 4.738 4.738 6.929 Å, 70.01 70.01 90.00°
Element x y z (fractional)
1 Ba 0.000 0.000 0.000
2 Bi 0.363 0.363 0.273
3 Cu 0.750 0.250 0.500
4 Bi 0.637 0.637 0.727
5 Cu 0.250 0.750 0.500



Record 2
## Ba2IrRu (PBE)

Data for crystalline Ba2IrRu at its relaxed geometry.

Cell: 4.467 5.011 6.193 Å, 66.09 90.00 90.00°
Element x y z (fractional)
1 Ba 0.000 0.979 0.917
2 Ir 0.000 0.667 0.542
3 Ba 0.500 0.268 0.340
4 Ru 0.500 0.587 0.701



Record 3
## SrZn2Ni (PBE)

Data for crystalline SrZn2Ni at its relaxed geometry.

Cell: 4.136 4.136 4.781 Å, 90.00 90.00 90.00°
Element x y z (fractional)
1 Zn 0.500 0.500 0.000
2 Ni 0.500 0.000 0.500
3 Zn 0.000 0.000 0.000
4 Sr 0.000 0.500 0.500



no.,total energy (eV per cell),calculated volume (Å³ per cell)
1,-19.2,136.2
2,-21.7,126.7
3,-9.3,81.8